[1]
An optimized crystal structure of LaInHF2. Source: Alexandria, functional PBE.

Cell and atoms, written as POSCAR:
```
LaInHF2
1.0
4.650 0.000 0.000
0.000 3.679 0.000
0.000 0.000 4.650
F H In La
2 1 1 1
direct
0.000 0.000 0.500
0.500 0.000 0.000
0.000 0.000 0.000
0.000 0.500 0.000
0.500 0.500 0.500
```

Properties
V = 15.910 A^3/atom
D(E_F) = 3.92 states/eV/f.u.
Symmetry = No. 123
Uncorrected energy = -4.21 eV per atom


[2]
An optimized crystal structure of InH5N2F2. Source: Alexandria, functional PBE.

Cell and atoms, written as POSCAR:
```
InH5N2F2
1.0
-1.212 -2.909 4.406
-1.755 -6.194 -4.572
6.805 -8.254 -3.577
F H N In
8 20 8 4
direct
0.808 0.976 0.085
0.654 0.689 0.499
0.692 0.976 0.585
0.192 0.024 0.915
0.346 0.311 0.501
0.154 0.311 0.001
0.308 0.024 0.415
0.846 0.689 0.999
0.287 0.437 0.111
0.213 0.437 0.611
0.501 0.612 0.072
0.753 0.984 0.332
0.355 0.783 0.328
0.645 0.217 0.672
0.787 0.563 0.389
0.001 0.388 0.428
0.855 0.217 0.172
0.003 0.896 0.665
0.503 0.104 0.835
0.747 0.984 0.832
0.997 0.104 0.335
0.145 0.783 0.828
0.497 0.896 0.165
0.247 0.016 0.668
0.253 0.016 0.168
0.999 0.612 0.572
0.499 0.388 0.928
0.713 0.563 0.889
0.174 0.866 0.714
0.137 0.515 0.649
0.637 0.485 0.851
0.826 0.134 0.286
0.326 0.866 0.214
0.363 0.515 0.149
0.674 0.134 0.786
0.863 0.485 0.351
0.073 0.718 0.142
0.573 0.282 0.358
0.427 0.718 0.642
0.927 0.282 0.858
```

Properties
V = 9.429 A^3/atom
D(E_F) = 0.00 states/eV/f.u.
Symmetry = No. 14
Uncorrected energy = -4.99 eV per atom


[3]
An optimized crystal structure of InHN2F. Source: Alexandria, functional PBE.

Cell and atoms, written as POSCAR:
```
InHN2F
1.0
4.452 0.000 0.000
0.000 4.452 0.000
0.000 0.000 4.372
In N H F
1 2 1 1
direct
0.000 0.000 0.000
0.000 0.500 0.000
0.500 0.000 0.000
0.500 0.500 0.500
0.000 0.000 0.500
```

Properties
V = 17.328 A^3/atom
Energy above the lowest structure with this stoichiometry = 298 meV/atom
D(E_F) = 0.91 states/eV/f.u.
Symmetry = No. 123


[4]
An optimized crystal structure of InHN2F. Source: Alexandria, functional PBE.

Cell and atoms, written as POSCAR:
```
InHN2F
1.0
3.270 0.000 0.000
0.000 3.270 0.000
0.000 0.000 4.158
N H In F
2 1 1 1
direct
0.500 0.000 0.000
0.000 0.500 0.000
0.000 0.000 0.000
0.500 0.500 0.500
0.000 0.000 0.500
```

Properties
V = 8.891 A^3/atom
Energy above the lowest structure with this stoichiometry = 0 meV/atom
D(E_F) = 1.47 states/eV/f.u.
Symmetry = No. 123


[5]
An optimized crystal structure of NaInH8N2F6. Source: Alexandria, functional PBE.

Cell and atoms, written as POSCAR:
```
NaInH8N2F6
1.0
-4.420 2.328 3.632
-5.933 -1.272 -1.153
-3.155 -3.716 3.793
F H Na N In
6 8 1 2 1
direct
0.258 0.742 0.258
0.258 0.742 0.742
0.742 0.258 0.742
0.742 0.258 0.258
0.742 0.742 0.258
0.258 0.258 0.742
0.546 0.818 0.818
0.818 0.818 0.546
0.182 0.454 0.182
0.182 0.182 0.182
0.818 0.818 0.818
0.818 0.546 0.818
0.182 0.182 0.454
0.454 0.182 0.182
0.000 0.000 0.000
0.750 0.750 0.750
0.250 0.250 0.250
0.500 0.500 0.500
```

Properties
V = 9.255 A^3/atom
D(E_F) = 0.00 states/eV/f.u.
Symmetry = No. 225
Uncorrected energy = -4.76 eV per atom


[6]
An optimized crystal structure of InHO2F. Source: Alexandria, functional PBE.

Cell and atoms, written as POSCAR:
```
InHO2F
1.0
-2.459 0.260 -3.472
3.459 -0.303 -2.473
-0.396 -4.223 -0.036
In O H F
1 2 1 1
direct
0.000 0.000 0.000
0.500 0.000 0.000
0.000 0.500 0.000
0.500 0.500 0.500
0.000 0.000 0.500
```

Properties
V = 15.414 A^3/atom
D(E_F) = 3.78 states/eV/f.u.
Symmetry = No. 123
Uncorrected energy = -3.74 eV per atom


[7]
An optimized crystal structure of InHO2F. Source: Alexandria, functional PBE.

Cell and atoms, written as POSCAR:
```
InHO2F
1.0
-2.134 2.653 -0.524
0.381 -0.366 -3.404
-2.872 -2.325 -0.072
F H O In
1 1 2 1
direct
0.000 0.000 0.500
0.000 0.000 0.000
0.000 0.500 0.000
0.500 0.000 0.000
0.500 0.500 0.500
```

Properties
V = 8.772 A^3/atom
D(E_F) = 1.17 states/eV/f.u.
Symmetry = No. 123
Uncorrected energy = -3.94 eV per atom


[8]
An optimized crystal structure of InH2PbF8. Source: Alexandria, functional PBE.

Cell and atoms, written as POSCAR:
```
InH2PbF8
1.0
-0.989 -2.935 1.713
-0.941 -3.953 -3.169
9.240 -1.732 3.126
F In Pb H
8 1 1 2
direct
0.368 0.246 0.451
0.191 0.727 0.793
0.809 0.273 0.207
0.214 0.697 0.276
0.378 0.228 0.958
0.632 0.754 0.549
0.622 0.772 0.042
0.786 0.303 0.724
0.000 0.000 0.000
0.000 0.000 0.500
0.505 0.489 0.241
0.495 0.511 0.759
```

Properties
V = 13.360 A^3/atom
D(E_F) = 1.41 states/eV/f.u.
Symmetry = No. 2
Uncorrected energy = -4.33 eV per atom


[9]
An optimized crystal structure of Rb2InHF6. Source: Alexandria, functional PBE.

Cell and atoms, written as POSCAR:
```
Rb2InHF6
1.0
-4.047 -2.863 2.321
3.240 -4.407 0.213
1.250 -2.193 5.929
F H Rb In
6 1 2 1
direct
0.202 0.202 0.596
0.723 0.723 0.000
0.723 0.277 0.000
0.277 0.723 0.000
0.798 0.798 0.404
0.277 0.277 0.000
0.500 0.500 0.000
0.750 0.250 0.500
0.250 0.750 0.500
0.000 0.000 0.000
```

Properties
V = 15.439 A^3/atom
D(E_F) = 0.00 states/eV/f.u.
Symmetry = No. 139
Uncorrected energy = -4.11 eV per atom


[10]
An optimized crystal structure of RbInHF2. Source: Alexandria, functional PBE.

Cell and atoms, written as POSCAR:
```
RbInHF2
1.0
-4.536 1.562 -0.468
-1.452 -4.499 -0.941
-0.615 -0.618 3.902
In H F Rb
1 1 2 1
direct
0.000 0.000 0.000
0.000 0.000 0.500
0.000 0.500 0.000
0.500 0.000 0.000
0.500 0.500 0.500
```

Properties
V = 18.577 A^3/atom
D(E_F) = 1.09 states/eV/f.u.
Symmetry = No. 123
Uncorrected energy = -3.82 eV per atom


[11]
An optimized crystal structure of RbInHF6. Source: Alexandria, functional PBE.

Cell and atoms, written as POSCAR:
```
RbInHF6
1.0
5.827 0.887 0.211
3.650 4.904 -0.025
0.205 -0.138 6.250
Rb F In H
1 6 1 1
direct
0.018 0.024 0.028
0.648 0.917 0.279
0.393 0.517 0.290
0.929 0.729 0.725
0.422 0.993 0.714
0.482 0.429 0.757
0.967 0.411 0.365
0.347 0.313 0.518
0.793 0.667 0.324
```

Properties
V = 17.557 A^3/atom
Symmetry = No. 1
Uncorrected energy = -4.09 eV per atom


[12]
An optimized crystal structure of In2SiHF5. Source: Alexandria, functional PBE.

Cell and atoms, written as POSCAR:
```
In2SiHF5
1.0
6.020 -0.071 -0.104
-2.921 5.264 0.104
-2.921 -1.778 4.956
F H Si In
5 1 1 2
direct
0.592 0.794 0.794
0.000 0.198 0.198
0.000 0.794 0.202
0.000 0.202 0.794
0.408 0.202 0.202
0.000 0.813 0.813
0.000 0.994 0.994
0.500 0.251 0.751
0.500 0.751 0.251
```

Properties
V = 17.223 A^3/atom
D(E_F) = 0.00 states/eV/f.u.
Symmetry = No. 107
Uncorrected energy = -4.70 eV per atom


[13]
An optimized crystal structure of InSi2HF. Source: Alexandria, functional PBE.

Cell and atoms, written as POSCAR:
```
InSi2HF
1.0
5.315 0.000 0.000
0.000 3.380 0.000
0.000 0.000 5.315
F In H Si
1 1 1 2
direct
0.500 0.500 0.500
0.000 0.000 0.000
0.000 0.500 0.000
0.500 0.000 0.000
0.000 0.000 0.500
```

Properties
V = 19.092 A^3/atom
D(E_F) = 1.85 states/eV/f.u.
Symmetry = No. 123
Uncorrected energy = -3.19 eV per atom


[14]
An optimized crystal structure of SrInH2F8. Source: Alexandria, functional PBE.

Cell and atoms, written as POSCAR:
```
SrInH2F8
1.0
-3.723 -2.348 0.169
-1.668 -1.267 -4.050
4.454 -7.060 0.361
F H In Sr
8 2 1 1
direct
0.274 0.266 0.000
0.747 0.269 0.784
0.254 0.732 0.784
0.726 0.734 0.000
0.635 0.710 0.500
0.253 0.731 0.216
0.365 0.290 0.500
0.746 0.268 0.216
0.500 0.500 0.787
0.500 0.500 0.213
0.000 0.000 0.000
0.000 0.000 0.500
```

Properties
V = 12.671 A^3/atom
D(E_F) = 2.52 states/eV/f.u.
Symmetry = No. 2
Uncorrected energy = -4.44 eV per atom


[15]
An optimized crystal structure of HIr2F. Source: Alexandria, functional PBE.

Cell and atoms, written as POSCAR:
```
HIr2F
1.0
-1.674 -3.594 0.333
-3.863 -0.320 0.896
-2.584 -1.254 -2.753
Ir H F
2 1 1
direct
0.250 0.250 0.250
0.750 0.750 0.750
0.000 0.000 0.000
0.500 0.500 0.500
```

Properties
V = 11.133 A^3/atom
Energy above the lowest structure with this stoichiometry = 605 meV/atom
D(E_F) = 4.31 states/eV/f.u.
Symmetry = No. 225


[16]
An optimized crystal structure of HIrF. Source: Alexandria, functional PBE.

Cell and atoms, written as POSCAR:
```
HIrF
1.0
2.554 -0.012 0.004
1.217 2.256 0.003
1.095 0.141 7.872
Ir H F
1 1 1
direct
0.252 0.571 0.725
0.567 0.254 0.224
0.346 0.037 0.224
```

Properties
V = 15.157 A^3/atom
Energy above the lowest structure with this stoichiometry = 244 meV/atom
D(E_F) = 2.95 states/eV/f.u.
Symmetry = No. 1


[17]
An optimized crystal structure of HIrF2. Source: Alexandria, functional PBE.

Cell and atoms, written as POSCAR:
```
HIrF2
1.0
4.507 0.000 0.000
0.000 4.507 0.000
2.253 2.253 3.579
F H Ir
4 2 2
direct
0.288 0.625 0.250
0.375 0.538 0.750
0.462 0.125 0.250
0.875 0.712 0.750
0.250 0.750 0.500
0.500 0.500 0.000
0.000 0.000 0.000
0.750 0.250 0.500
```

Properties
V = 9.087 A^3/atom
Energy above the lowest structure with this stoichiometry = 539 meV/atom
D(E_F) = 0.79 states/eV/f.u.
Symmetry = No. 122


[18]
An optimized crystal structure of H2IrF. Source: Alexandria, functional PBE.

Cell and atoms, written as POSCAR:
```
H2IrF
1.0
3.423 0.128 0.796
1.026 1.103 3.178
1.356 -2.287 2.301
H F Ir
2 1 1
direct
0.250 0.250 0.250
0.750 0.750 0.750
0.000 0.000 0.000
0.500 0.500 0.500
```

Properties
V = 7.689 A^3/atom
Energy above the lowest structure with this stoichiometry = 514 meV/atom
D(E_F) = 1.49 states/eV/f.u.
Symmetry = No. 225


[19]
An optimized crystal structure of HIrF2. Source: Alexandria, functional PBE.

Cell and atoms, written as POSCAR:
```
HIrF2
1.0
1.991 -3.157 1.042
-1.510 -2.486 2.562
-1.177 -3.504 -1.163
F H Ir
2 1 1
direct
0.750 0.750 0.750
0.250 0.250 0.250
0.000 0.000 0.000
0.500 0.500 0.500
```

Properties
V = 10.289 A^3/atom
Energy above the lowest structure with this stoichiometry = 902 meV/atom
D(E_F) = 1.96 states/eV/f.u.
Symmetry = No. 225


[20]
An optimized crystal structure of HIr2F. Source: Alexandria, functional PBE.

Cell and atoms, written as POSCAR:
```
HIr2F
1.0
4.737 0.000 0.000
0.000 4.737 0.000
2.368 2.368 4.277
Ir H F
4 2 2
direct
0.237 0.625 0.250
0.513 0.125 0.250
0.875 0.763 0.750
0.375 0.487 0.750
0.500 0.500 0.000
0.250 0.750 0.500
0.750 0.250 0.500
0.000 0.000 0.000
```

Properties
V = 11.994 A^3/atom
Energy above the lowest structure with this stoichiometry = 0 meV/atom
D(E_F) = 0.86 states/eV/f.u.
Symmetry = No. 122


[21]
An optimized crystal structure of HIrF. Source: Alexandria, functional PBE.

Cell and atoms, written as POSCAR:
```
HIrF
1.0
-1.776 0.730 1.864
-2.176 -4.506 -2.240
4.338 -1.821 3.403
H Ir F
2 2 2
direct
0.459 0.164 0.838
0.541 0.836 0.162
0.387 0.210 0.583
0.613 0.790 0.417
0.646 0.613 0.735
0.354 0.387 0.265
```

Properties
V = 12.768 A^3/atom
Energy above the lowest structure with this stoichiometry = 261 meV/atom
D(E_F) = 2.19 states/eV/f.u.
Symmetry = No. 2


[22]
An optimized crystal structure of H6IrF12. Source: Alexandria, functional PBE.

Cell and atoms, written as POSCAR:
```
H6IrF12
1.0
6.236 0.473 -0.550
-0.640 6.221 -0.550
0.395 0.473 6.248
H F Ir
6 12 1
direct
0.679 0.485 0.724
0.724 0.679 0.485
0.321 0.515 0.276
0.485 0.724 0.679
0.276 0.321 0.515
0.515 0.276 0.321
0.727 0.069 0.898
0.533 0.374 0.206
0.931 0.102 0.273
0.069 0.898 0.727
0.794 0.467 0.626
0.626 0.794 0.467
0.374 0.206 0.533
0.273 0.931 0.102
0.467 0.626 0.794
0.206 0.533 0.374
0.102 0.273 0.931
0.898 0.727 0.069
0.000 0.000 0.000
```

Properties
V = 13.017 A^3/atom
Symmetry = No. 148
Uncorrected energy = -4.20 eV per atom


[23]
An optimized crystal structure of HIrF2. Source: Alexandria, functional PBE.

Cell and atoms, written as POSCAR:
```
HIrF2
1.0
1.565 0.000 6.434
-0.782 1.355 6.434
-0.782 -1.355 6.434
F Ir H
2 1 1
direct
0.059 0.059 0.059
0.941 0.941 0.941
0.500 0.500 0.500
0.000 0.000 0.000
```

Properties
V = 10.233 A^3/atom
Energy above the lowest structure with this stoichiometry = 0 meV/atom
D(E_F) = 1.92 states/eV/f.u.
Symmetry = No. 166